Version P
# La4ScHg

A relaxed structure of La4ScHg (PBE-GGA, Alexandria).

a b c (Å): 6.5326 6.5326 6.5326
angles (deg): 60.00 60.00 60.00
Element x y z (fractional)
La1 0.1248 0.1248 0.1248
La2 0.1248 0.1248 0.6255
La3 0.1248 0.6255 0.1248
La4 0.6255 0.1248 0.1248
Sc1 0.7500 0.7500 0.7500
Hg1 0.5000 0.5000 0.5000

## Properties
* space group: F-43m, No. 216

---

Version Q
# La4ScHg

A relaxed structure of La4ScHg (PBE-GGA, Alexandria).

a b c (Å): 3.7546 3.7546 13.7850
angles (deg): 90.00 90.00 90.00
Element x y z (fractional)
La1 0.0000 0.0000 0.1512
La2 0.0000 0.0000 0.8488
La3 0.5000 0.5000 0.3389
La4 0.5000 0.5000 0.6611
Sc1 0.0000 0.0000 0.5000
Hg1 0.5000 0.5000 0.0000

## Properties
* space group: P4/mmm, No. 123

---

The data favor version Q; the next most stable structure lies 417 meV per atom above it.